Version 1
The following is a PBE calculation of a relaxed structure of Pa2CdRh, from Alexandria.

a = 3.1091 Å, b = 3.1091 Å, c = 11.3844 Å
α = 82.15°, β = 82.15°, γ = 60.00°
Last column: nearest neighbours and their distance in Å.
Atoms (fractional coordinates):
Pa  0.0978  0.0978  0.7067  3 Rh 2.94, 6 Pa 3.11
Pa  0.9022  0.9022  0.2933  3 Rh 2.94, 6 Pa 3.11
Rh  0.5000  0.5000  0.5000  6 Pa 2.94, 6 Rh 3.11
Cd  0.0000  0.0000  0.0000  6 Cd 3.11, 2 Pa 3.30

Output
total magnetization	0.0	μB/cell
D(E_F)	7.7	states/eV per cell
calculated density	11.95	Mg/m³
calculated volume	23.53	A^3/atom
crystal system	trigonal

***

Version 2
The following is a PBE calculation of a relaxed structure of Pa2CdRh, from Alexandria.

a = 3.6273 Å, b = 3.6273 Å, c = 7.0107 Å
α = 90.00°, β = 90.00°, γ = 90.00°
Last column: nearest neighbours and their distance in Å.
Atoms (fractional coordinates):
Pa  0.0000  0.0000  0.7970  1 Pa 2.85, 4 Rh 2.93
Pa  0.0000  0.0000  0.2030  1 Pa 2.85, 4 Rh 2.93
Rh  0.5000  0.5000  0.0000  8 Pa 2.93
Cd  0.5000  0.5000  0.5000  8 Pa 3.30, 2 Rh 3.51, 4 Cd 3.63

Output
total magnetization	0.0	μB/cell
D(E_F)	6.4	states/eV per cell
calculated density	12.19	Mg/m³
calculated volume	23.06	A^3/atom
crystal system	tetragonal

***

What should be chosen as the least stable of them? Choose version 1.

***

Version 1
The following is a PBE calculation of a relaxed structure of Pa2CdRu, from Alexandria.

a = 3.1367 Å, b = 3.1367 Å, c = 8.9550 Å
α = 90.00°, β = 90.00°, γ = 90.00°
Last column: nearest neighbours and their distance in Å.
Atoms (fractional coordinates):
Ru  0.5000  0.5000  0.0000  8 Pa 2.93, 4 Ru 3.14
Pa  0.0000  0.0000  0.7854  4 Ru 2.93, 4 Pa 3.14
Pa  0.0000  0.0000  0.2146  4 Ru 2.93, 4 Pa 3.14
Cd  0.5000  0.5000  0.5000  4 Cd 3.14, 8 Pa 3.38

Output
total magnetization	0.0	μB/cell
D(E_F)	5.8	states/eV per cell
calculated density	12.73	Mg/m³
calculated volume	22.03	A^3/atom
crystal system	tetragonal

***

Version 2
The following is a PBE calculation of a relaxed structure of Pa2CdRu, from Alexandria.

a = 3.1206 Å, b = 3.1206 Å, c = 11.2945 Å
α = 82.06°, β = 82.06°, γ = 60.00°
Last column: nearest neighbours and their distance in Å.
Atoms (fractional coordinates):
Ru  0.5000  0.5000  0.5000  6 Pa 2.89, 6 Ru 3.12
Pa  0.0992  0.0992  0.7025  3 Ru 2.89, 6 Pa 3.12
Pa  0.9008  0.9008  0.2975  3 Ru 2.89, 6 Pa 3.12
Cd  0.0000  0.0000  0.0000  6 Cd 3.12, 2 Pa 3.32

Output
total magnetization	0.0	μB/cell
D(E_F)	6.1	states/eV per cell
calculated density	11.93	Mg/m³
calculated volume	23.51	A^3/atom
crystal system	trigonal

***

What should be chosen as the least stable of them? Choose version 2.